--- a ---
Entry from Alexandria via LeMat-Bulk: a relaxed structure of TePd3Ru (GGA-PBE).

Magnetization = 2.00 μB/cell
Calculated volume = 22.323 Å³/atom
Space group = Pm-3m (221)

Lattice parameters (Å, degrees): 4.815 4.815 4.815 90.00 90.00 90.00
Positions (direct):
Te  0.000  0.000  0.000
Pd  0.000  0.500  0.500
Pd  0.500  0.000  0.500
Pd  0.500  0.500  0.000
Ru  0.500  0.500  0.500

--- b ---
Entry from Alexandria via LeMat-Bulk: a relaxed structure of TePd3Ru (GGA-PBE).

Magnetization = 3.13 μB/cell
Calculated volume = 23.407 Å³/atom
Space group = Pm-3m (221)

Lattice parameters (Å, degrees): 4.891 4.891 4.891 90.00 90.00 90.00
Positions (direct):
Te  0.000  0.000  0.000
Pd  0.000  0.000  0.500
Pd  0.000  0.500  0.000
Pd  0.500  0.000  0.000
Ru  0.500  0.500  0.500

Stability, descending: b, a